YPu3Sb4 GGA-PBE optimized geometry; crystal system = monoclinic; final energy = -8.97 eV per atom
1.0
-7.246 2.456 0.103
0.172 -7.495 1.488
0.709 1.730 8.635
Y Sb Pu
2 8 6
Cartesian
-4.813 3.356 7.637 Y
-1.723 0.829 1.101 Y
-6.759 1.666 5.868 Sb
-2.953 0.871 7.985 Sb
-3.313 0.007 3.664 Sb
-7.108 0.798 1.547 Sb
0.745 -4.108 8.679 Sb
-3.050 -3.316 6.562 Sb
-3.411 -4.180 2.241 Sb
0.396 -4.975 4.358 Sb
-5.169 2.488 3.304 Pu
-1.367 1.698 5.435 Pu
-4.904 -0.823 6.227 Pu
-5.260 -1.691 1.895 Pu
-1.460 -2.487 3.999 Pu
-1.104 -1.619 8.331 Pu

=====

Y5PuSb4 GGA-PBE optimized geometry; crystal system = monoclinic; final energy = -6.98 eV per atom
1.0
-2.145 0.592 3.717
6.625 -2.937 4.291
2.437 8.936 -2.541
Y Pu Sb
5 1 4
Cartesian
4.094 4.383 4.190 Y
0.988 6.022 2.136 Y
5.929 0.570 3.331 Y
2.240 -1.172 4.004 Y
2.822 2.209 1.277 Y
-1.073 0.296 1.859 Pu
6.905 3.415 3.441 Sb
5.190 7.217 4.371 Sb
0.012 3.176 2.026 Sb
1.726 -0.626 1.096 Sb

=====

Y4PuSb5 GGA-PBE optimized geometry; crystal system = tetragonal; final energy = -7.13 eV per atom
1.0
-3.141 2.905 1.038
-2.235 -3.164 2.090
10.188 3.533 11.607
Y Pu Sb
4 1 5
Cartesian
5.990 2.719 10.521 Y
1.807 1.911 9.459 Y
3.004 1.364 5.277 Y
-1.179 0.555 4.215 Y
0.000 0.000 0.000 Pu
1.505 0.683 2.643 Sb
-2.688 -0.130 1.564 Sb
3.307 2.591 12.092 Sb
4.499 2.042 7.902 Sb
0.313 1.232 6.834 Sb

=====

Y4PuSb5 GGA-PBE optimized geometry; crystal system = orthorhombic; final energy = -7.13 eV per atom
1.0
-4.254 -0.036 1.134
1.303 -3.776 4.766
3.126 10.644 3.522
Y Pu Sb
4 1 5
Cartesian
1.318 6.979 5.168 Y
-0.489 3.320 6.820 Y
0.663 3.512 2.601 Y
-1.143 -0.146 4.253 Y
0.000 0.000 0.000 Pu
-1.796 1.734 1.865 Sb
-1.137 5.222 4.448 Sb
1.312 1.610 4.973 Sb
0.651 -1.888 2.383 Sb
1.971 5.098 7.557 Sb

=====

Y2PuSb GGA-PBE optimized geometry; crystal system = tetragonal; final energy = -8.25 eV per atom; distance to the lowest polymorph of the same formula = 0.0 meV/atom
1.0
4.571 0.000 0.000
0.000 4.878 0.000
0.000 0.000 4.878
Y Sb Pu
2 1 1
Cartesian
0.000 0.000 2.439 Y
0.000 2.439 0.000 Y
2.286 0.000 0.000 Sb
2.286 2.439 2.439 Pu

=====

Y5PuSb6 GGA-PBE optimized geometry; crystal system = monoclinic; final energy = -7.01 eV per atom
1.0
7.486 -0.115 -1.411
-4.044 6.301 -1.411
0.147 0.265 7.613
Y Sb Pu
5 6 1
Cartesian
5.642 1.084 2.396 Y
3.644 2.023 -1.411 Y
1.795 3.225 2.396 Y
-0.202 4.163 -1.411 Y
-2.052 5.366 2.396 Y
2.822 0.546 1.203 Sb
4.613 3.764 3.588 Sb
0.973 1.749 5.005 Sb
2.617 4.702 -0.214 Sb
-1.023 2.686 1.203 Sb
0.768 5.904 3.588 Sb
0.000 0.000 0.000 Pu

=====

YPuSb2 GGA-PBE optimized geometry; crystal system = tetragonal; final energy = -8.14 eV per atom; distance to the lowest polymorph of the same formula = 4.3 meV/atom
1.0
-5.481 -1.269 -2.674
1.215 -6.096 0.406
-4.836 -3.850 4.480
Y Pu Sb
2 2 4
Cartesian
-5.991 -9.014 2.044 Y
-3.112 -2.201 0.168 Y
-3.858 -5.331 3.177 Pu
-5.244 -5.884 -0.965 Pu
-3.255 -8.379 3.390 Sb
-5.847 -2.836 -1.178 Sb
-6.594 -5.966 1.831 Sb
-2.508 -5.249 0.381 Sb

=====

Y2PuSb GGA-PBE optimized geometry; crystal system = trigonal; final energy = -8.04 eV per atom; distance to the lowest polymorph of the same formula = 218.2 meV/atom
1.0
-3.223 -1.170 1.003
-0.425 -3.392 1.038
0.881 1.277 10.686
Y Sb Pu
2 1 1
Cartesian
-0.725 -0.865 3.025 Y
-2.043 -2.420 9.702 Y
0.000 0.000 0.000 Sb
-1.384 -1.643 6.363 Pu

=====

Short version: V = 30.4 32.9 30.1 30.1 27.2 30.1 30.2 29.3 Å³/atom, in the order given.
Short version: uncorrected formation energy = -722 -670 -1046 -1047 -408 -1064 -877 -190 meV per atom, in the order given.